No. 1
The following is a GGA-PBE calculation of an optimized crystal structure of NdGdZnRh, from Alexandria.

Cell lengths 7.1411, 7.1411, 7.1411 Å; angles 90.00, 90.00, 90.00 degrees
Space group F-43m (No. 216)
Inequivalent atoms, fractional coordinates:
Nd (0.0000, 0.0000, 0.0000)
Gd (0.0000, 0.0000, 0.5000)
Zn (0.2500, 0.2500, 0.7500)
Rh (0.2500, 0.2500, 0.2500)

As for the energy of formation: -0.515 eV/atom.

=====

No. 2
The following is a GGA-PBE calculation of an optimized crystal structure of Nd3GdRu, from Alexandria.

Cell lengths 5.5409, 5.5409, 5.5409 Å; angles 90.00, 90.00, 90.00 degrees
Space group Pm-3m (No. 221)
Inequivalent atoms, fractional coordinates:
Nd (0.0000, 0.0000, 0.5000)
Gd (0.5000, 0.5000, 0.5000)
Ru (0.0000, 0.0000, 0.0000)

As for the energy of formation: 0.023 eV/atom.

=====

No. 3
The following is a GGA-PBE calculation of an optimized crystal structure of NdGd2Ru, from Alexandria.

Cell lengths 4.7575, 4.7575, 16.2719 Å; angles 90.00, 90.00, 120.00 degrees
Space group R-3m (No. 166, hexagonal axes)
Inequivalent atoms, fractional coordinates:
Nd (0.0000, 0.0000, 0.0000)
Gd (0.0000, 0.0000, 0.2252)
Ru (0.0000, 0.0000, 0.5000)

As for the energy of formation: 0.052 eV/atom.

=====

| no. | spin magnetization (μB per cell) | density of states at the Fermi level (states/eV/cell) |
| --- | --- | --- |
| 1 | 28.23 | 8.8 |
| 2 | 7.99 | 9.3 |
| 3 | 43.03 | 12.9 |